No. 1
First-principles (PBE) data for a geometry-optimized EuSc2N structure, as listed in the Alexandria database.

Properties
The calculation puts the uncorrected formation energy at -0.773 eV/atom. The calculation puts the theoretical density at 5.1 Mg/m³. The calculation puts the total magnetization at 7.12 μB/f.u. The space-group type is R-3m, No. 166. Its energy is -8.59 eV per atom.

abc: 3.271 3.271 9.237
angles: 79.80 79.80 60.00
Last column: magnetic moment on the atom in μB.
Fractional positions:
Sc1 0.878 0.878 0.367  0.11
Sc2 0.122 0.122 0.633  0.11
Eu1 0.000 0.000 0.000  -7.11
N1 0.500 0.500 0.500  -0.01

***

No. 2
First-principles (PBE) data for a geometry-optimized Eu2SiN3 structure, as listed in the Alexandria database.

Properties
The calculation puts the uncorrected formation energy at -1.185 eV/atom. The calculation puts the theoretical density at 7.3 Mg/m³. The calculation puts the total magnetization at 13.00 μB/f.u. The space-group type is Cmce, No. 64. Its energy is -9.68 eV per atom.

abc: 6.000 6.000 11.696
angles: 90.00 90.00 125.92
Last column: magnetic moment on the atom in μB.
Fractional positions:
Eu1 0.053 0.947 0.856  6.62
Eu2 0.360 0.640 0.924  6.53
Eu3 0.140 0.860 0.424  6.53
Eu4 0.553 0.447 0.644  6.62
Eu5 0.640 0.360 0.076  6.53
Eu6 0.860 0.140 0.576  6.53
Eu7 0.447 0.553 0.356  6.62
Eu8 0.947 0.053 0.144  6.62
N1 0.081 0.919 0.633  -0.13
N2 0.581 0.419 0.867  -0.13
N3 0.972 0.528 0.250  -0.07
N4 0.472 0.028 0.250  -0.07
N5 0.028 0.472 0.750  -0.07
N6 0.158 0.842 0.045  -0.12
N7 0.658 0.342 0.455  -0.12
N8 0.842 0.158 0.955  -0.12
N9 0.528 0.972 0.750  -0.07
N10 0.419 0.581 0.133  -0.13
N11 0.919 0.081 0.367  -0.13
N12 0.342 0.658 0.545  -0.12
Si1 0.757 0.243 0.336  0.00
Si2 0.243 0.757 0.664  0.00
Si3 0.743 0.257 0.836  0.00
Si4 0.257 0.743 0.164  0.00

***

No. 3
First-principles (PBE) data for a geometry-optimized EuSiN2 structure, as listed in the Alexandria database.

Properties
The calculation puts the uncorrected formation energy at -0.019 eV/atom. The calculation puts the theoretical density at 6.8 Mg/m³. The calculation puts the total magnetization at 6.87 μB/f.u. The space-group type is R-3m, No. 166. Its energy is -8.11 eV per atom.

abc: 3.031 3.031 6.629
angles: 76.78 76.78 60.00
Last column: magnetic moment on the atom in μB.
Fractional positions:
N1 0.119 0.119 0.643  -0.17
N2 0.881 0.881 0.357  -0.17
Eu1 0.000 0.000 0.000  7.04
Si1 0.500 0.500 0.500  0.01

***

No. 4
First-principles (PBE) data for a geometry-optimized YbEuSi4N7 structure, as listed in the Alexandria database.

Properties
The calculation puts the uncorrected formation energy at -1.155 eV/atom. The calculation puts the theoretical density at 5.7 Mg/m³. The calculation puts the total magnetization at 5.98 μB/f.u. The space-group type is P6_3mc, No. 186. Its energy is -8.21 eV per atom.

abc: 6.029 6.029 9.885
angles: 90.00 90.00 120.00
Last column: magnetic moment on the atom in μB.
Fractional positions:
Si1 0.826 0.174 0.546  0.00
Si2 0.653 0.826 0.046  0.00
Si3 0.000 0.000 0.312  0.00
Si4 0.174 0.826 0.046  0.00
Si5 0.174 0.347 0.046  0.00
Si6 0.826 0.653 0.546  0.00
Si7 0.000 0.000 0.812  0.00
Si8 0.347 0.174 0.546  0.00
N1 0.153 0.305 0.873  -0.04
N2 0.847 0.153 0.373  -0.04
N3 0.305 0.153 0.373  -0.04
N4 0.510 0.490 0.596  -0.03
N5 0.000 0.000 0.622  0.00
N6 0.510 0.020 0.596  -0.03
N7 0.490 0.980 0.096  -0.03
N8 0.000 0.000 0.122  0.00
N9 0.153 0.847 0.873  -0.04
N10 0.020 0.510 0.096  -0.03
N11 0.695 0.847 0.873  -0.04
N12 0.980 0.490 0.596  -0.03
N13 0.490 0.510 0.096  -0.03
N14 0.847 0.695 0.373  -0.04
Eu1 0.667 0.333 0.876  6.68
Eu2 0.333 0.667 0.376  6.68
Yb1 0.667 0.333 0.237  -0.52
Yb2 0.333 0.667 0.737  -0.52

***

No. 5
First-principles (PBE) data for a geometry-optimized SmEu2N structure, as listed in the Alexandria database.

Properties
The calculation puts the uncorrected formation energy at -0.438 eV/atom. The calculation puts the theoretical density at 7.0 Mg/m³. The calculation puts the total magnetization at 13.99 μB/f.u. The space-group type is R-3m, No. 166. Its energy is -8.84 eV per atom.

abc: 3.574 3.574 10.270
angles: 79.98 79.98 60.00
Last column: magnetic moment on the atom in μB.
Fractional positions:
N1 0.500 0.500 0.500  -0.17
Eu1 0.880 0.880 0.361  6.81
Eu2 0.120 0.120 0.639  6.81
Sm1 0.000 0.000 0.000  0.02

***

No. 6
First-principles (PBE) data for a geometry-optimized Sm3EuN structure, as listed in the Alexandria database.

Properties
The calculation puts the uncorrected formation energy at -0.414 eV/atom. The calculation puts the theoretical density at 7.6 Mg/m³. The calculation puts the total magnetization at 7.94 μB/f.u. The space-group type is Pm-3m, No. 221. Its energy is -6.97 eV per atom.

abc: 5.125 5.125 5.125
angles: 90.00 90.00 90.00
Last column: magnetic moment on the atom in μB.
Fractional positions:
Sm1 0.500 0.000 0.000  0.11
Sm2 0.000 0.500 0.000  0.11
Sm3 0.000 0.000 0.500  0.11
Eu1 0.500 0.500 0.500  6.91
N1 0.000 0.000 0.000  0.02

***

No. 7
First-principles (PBE) data for a geometry-optimized Eu2SnN structure, as listed in the Alexandria database.

Properties
The calculation puts the uncorrected formation energy at -0.757 eV/atom. The calculation puts the theoretical density at 7.5 Mg/m³. The calculation puts the total magnetization at 13.42 μB/f.u. The space-group type is R-3m, No. 166. Its energy is -8.98 eV per atom.

abc: 3.648 3.648 8.608
angles: 77.77 77.77 60.00
Last column: magnetic moment on the atom in μB.
Fractional positions:
Eu1 0.778 0.778 0.667  6.69
Eu2 0.222 0.222 0.333  6.69
Sn1 0.000 0.000 0.000  -0.07
N1 0.500 0.500 0.500  -0.18

***

No. 8
First-principles (PBE) data for a geometry-optimized Eu2SnN structure, as listed in the Alexandria database.

Properties
The calculation puts the uncorrected formation energy at -0.543 eV/atom. The calculation puts the theoretical density at 8.4 Mg/m³. The calculation puts the total magnetization at 13.56 μB/f.u. The space-group type is P4/mmm, No. 123. Its energy is -8.76 eV per atom.

abc: 3.211 3.211 8.341
angles: 90.00 90.00 90.00
Last column: magnetic moment on the atom in μB.
Fractional positions:
N1 0.500 0.500 0.000  -0.19
Eu1 0.000 0.000 0.171  6.78
Eu2 0.000 0.000 0.829  6.78
Sn1 0.500 0.500 0.500  -0.04